No. 1
First-principles (GGA-PBE) data for crystalline TaCuAg2 at its relaxed geometry, as listed in Alexandria.

Cell: 2.7775 2.7775 8.9070 Å, 90.00 90.00 105.37°
Last column: nearest neighbours and their distance in Å.
Fractional positions:
Ag 0.0000 0.0000 0.0178  2 Cu 2.67, 4 Ag 2.78, 2 Ta 2.92
Ag 0.0000 0.0000 0.4822  2 Cu 2.67, 4 Ag 2.78, 2 Ta 2.92
Cu 0.5000 0.5000 0.2500  4 Ag 2.67, 4 Cu 2.78
Ta 0.5000 0.5000 0.7500  4 Ta 2.78, 4 Ag 2.92

Properties
* energy relative to the lowest polymorph listed for this composition: 0.42 eV per formula unit
* space-group type: Cmmm, No. 65



No. 2
First-principles (GGA-PBE) data for crystalline CaEr3Tl2 at its relaxed geometry, as listed in Alexandria.

Cell: 5.3372 6.8258 9.3446 Å, 90.00 90.00 90.00°
Last column: nearest neighbours and their distance in Å.
Fractional positions:
Ca 0.5000 0.5071 0.5208  5 Tl 3.37-3.61, 2 Ca 3.43, 6 Er 3.53-3.61
Ca 0.5000 0.0071 0.4792  5 Tl 3.37-3.61, 2 Ca 3.43, 6 Er 3.53-3.61
Er 0.0000 0.4920 0.9817  5 Tl 3.37-3.59, 8 Er 3.43-3.54
Er 0.0000 0.9920 0.0183  5 Tl 3.37-3.59, 8 Er 3.43-3.54
Er 0.5000 0.7184 0.1661  4 Tl 3.07-3.25
Er 0.5000 0.2184 0.8339  4 Tl 3.07-3.25
Er 0.0000 0.2820 0.3273  4 Tl 3.09-3.25
Er 0.0000 0.7820 0.6727  4 Tl 3.09-3.25
Tl 0.5000 0.7422 0.8378  4 Er 3.07-3.25, 1 Ca 3.37
Tl 0.5000 0.2422 0.1622  4 Er 3.07-3.25, 1 Ca 3.37
Tl 0.0000 0.2583 0.6643  5 Er 3.12-3.37, 2 Ca 3.44
Tl 0.0000 0.7583 0.3357  5 Er 3.12-3.37, 2 Ca 3.44

Properties
* energy relative to the lowest polymorph listed for this composition: 0.00 eV per formula unit
* space-group type: Pmc2_1, No. 26



No. 3
First-principles (GGA-PBE) data for crystalline CeDyPuMg at its relaxed geometry, as listed in Alexandria.

Cell: 5.3961 5.3961 5.3961 Å, 60.00 60.00 60.00°
Last column: nearest neighbours and their distance in Å.
Fractional positions:
Mg 0.5000 0.5000 0.5000  4 Ce 3.30, 4 Dy 3.30
Dy 0.2500 0.2500 0.2500  4 Mg 3.30, 4 Pu 3.30
Ce 0.7500 0.7500 0.7500  4 Mg 3.30, 4 Pu 3.30
Pu 0.0000 0.0000 0.0000  4 Dy 3.30, 4 Ce 3.30

Properties
* space-group type: F-43m, No. 216



No. 4
First-principles (GGA-PBE) data for crystalline KLi2Ir at its relaxed geometry, as listed in Alexandria.

Cell: 7.5046 4.9712 2.8173 Å, 89.86 68.15 130.49°
Last column: nearest neighbours and their distance in Å.
Fractional positions:
Ir 0.0000 0.5000 0.5000  2 Ir 2.82, 8 Li 2.85-2.86
K 0.5000 0.5000 0.0000  2 K 2.82, 8 Li 2.85-2.86
Li 0.0000 0.0000 0.0000  2 Li 2.82, 4 K 2.85-2.86, 4 Ir 2.85-2.86
Li 0.5000 0.0000 0.5000  2 Li 2.82, 4 Ir 2.85-2.86, 4 K 2.85-2.86

Properties
* energy relative to the lowest polymorph listed for this composition: 0.69 eV per formula unit
* space-group type: C2/m, No. 12



Number 1: electronic total energy -5.1422 eV/atom, E_form 104 kJ/mol of formula units. Number 2: electronic total energy -3.6810 eV/atom, E_form -160 kJ/mol of formula units. Number 3: electronic total energy -6.4832 eV/atom, E_form 51 kJ/mol of formula units. Number 4: electronic total energy -3.0546 eV/atom, E_form 151 kJ/mol of formula units.